The following is a DFT calculation (PBE-GGA) of a relaxed structure of Rb2BaRuCl8.

```
data_Rb2BaRuCl8
_chemical_formula_sum 'Rb2 Ba1 Ru1 Cl8'
_space_group_name_H-M_alt 'P 1 2/m 1'
_space_group_IT_number 10
_cell_length_a 5.790
_cell_length_b 9.148
_cell_length_c 7.863
_cell_angle_alpha 90.00
_cell_angle_beta 105.57
_cell_angle_gamma 90.00
loop_
_space_group_symop_operation_xyz
'x,y,z'
'-x,-y,-z'
'-x,y,-z'
'x,-y,z'
loop_
_atom_site_label
_atom_site_type_symbol
_atom_site_fract_x
_atom_site_fract_y
_atom_site_fract_z
_atom_site_occupancy
Rb1 Rb 0.000 0.238 0.000 1
Ba1 Ba 0.500 0.500 0.500 1
Ru1 Ru 0.500 0.000 0.500 1
Cl1 Cl 0.018 0.500 0.738 1
Cl2 Cl 0.108 0.000 0.332 1
Cl3 Cl 0.423 0.189 0.688 1
```

Results
The value obtained for the uncorrected formation energy is -1445 meV/atom. The value obtained for the raw total energy is -45.2 eV per cell.